No. 1
Computed, not measured: a relaxed CePmPrGd crystal at the GGA-PBE level of DFT.

Computed properties:
The calculated formation energy is 0.185 eV per atom.

abc: 8.1635 8.1635 8.1635
angles: 90.00 90.00 90.00
Closest atoms and distances in Å follow each position.
Fractional positions:
Ce: 0.0000 0.0000 0.0000  4 Gd 3.53, 4 Pr 3.53
Ce: 0.0000 0.5000 0.5000  4 Gd 3.53, 4 Pr 3.53
Ce: 0.5000 0.0000 0.5000  4 Gd 3.53, 4 Pr 3.53
Ce: 0.5000 0.5000 0.0000  4 Gd 3.53, 4 Pr 3.53
Pm: 0.0000 0.0000 0.5000  4 Gd 3.53, 4 Pr 3.53
Pm: 0.0000 0.5000 0.0000  4 Gd 3.53, 4 Pr 3.53
Pm: 0.5000 0.0000 0.0000  4 Gd 3.53, 4 Pr 3.53
Pm: 0.5000 0.5000 0.5000  4 Gd 3.53, 4 Pr 3.53
Pr: 0.2500 0.2500 0.2500  4 Pm 3.53, 4 Ce 3.53
Pr: 0.2500 0.7500 0.7500  4 Pm 3.53, 4 Ce 3.53
Pr: 0.7500 0.2500 0.7500  4 Pm 3.53, 4 Ce 3.53
Pr: 0.7500 0.7500 0.2500  4 Pm 3.53, 4 Ce 3.53
Gd: 0.2500 0.2500 0.7500  4 Ce 3.53, 4 Pm 3.53
Gd: 0.2500 0.7500 0.2500  4 Ce 3.53, 4 Pm 3.53
Gd: 0.7500 0.2500 0.2500  4 Ce 3.53, 4 Pm 3.53
Gd: 0.7500 0.7500 0.7500  4 Ce 3.53, 4 Pm 3.53


No. 2
Computed, not measured: a relaxed BeNi2Se crystal at the GGA-PBE level of DFT.

Computed properties:
The raw formation energy comes out at -0.007 eV per atom.

abc: 3.3902 3.7836 3.7015
angles: 90.00 90.00 90.00
Closest atoms and distances in Å follow each position.
Fractional positions:
Be: 0.0000 0.0000 0.0000  4 Ni 2.32-2.41, 4 Se 2.56
Ni: 0.0000 0.5000 0.6391  2 Be 2.32, 2 Se 2.38
Ni: 0.5000 0.0000 0.4621  2 Se 2.34, 4 Be 2.41-2.61
Se: 0.5000 0.5000 0.0906  4 Ni 2.34-2.38, 4 Be 2.56


No. 3
Computed, not measured: a relaxed PPd2Au2 crystal at the GGA-PBE level of DFT.

Computed properties:
The calculated formation energy is 0.204 eV per atom.

abc: 6.5560 6.5560 4.0724
angles: 90.00 90.00 90.00
Closest atoms and distances in Å follow each position.
Fractional positions:
P: 0.0000 0.0000 0.0000  4 Au 2.49
P: 0.5000 0.5000 0.0000  4 Au 2.49
Pd: 0.1525 0.3475 0.5000  6 Au 2.72-2.85, 1 Pd 2.83
Pd: 0.3475 0.8475 0.5000  6 Au 2.72-2.85, 1 Pd 2.83
Pd: 0.6525 0.1525 0.5000  6 Au 2.72-2.85, 1 Pd 2.83
Pd: 0.8475 0.6525 0.5000  6 Au 2.72-2.85, 1 Pd 2.83
Au: 0.1526 0.6526 0.0000  2 P 2.49, 2 Pd 2.72
Au: 0.3474 0.1526 0.0000  2 P 2.49, 2 Pd 2.72
Au: 0.6526 0.8474 0.0000  2 P 2.49, 2 Pd 2.72
Au: 0.8474 0.3474 0.0000  2 P 2.49, 2 Pd 2.72


We obtain ΔE to the lowest computed polymorph values of 0.000, 0.041, 0.244 eV/atom for the records listed above, in that order.